The following is a DFT calculation (PBE) of Rb2CdGeBr6 after structural relaxation.

Geometry as extended XYZ:
```
10
Lattice="7.7946 0.0000 0.0000 3.7877 6.8154 0.0000 3.7912 2.2328 6.4390" Properties=species:S:1:pos:R:3 pbc="T T T"
Rb 0.0000 0.0000 0.0000
Rb 7.6716 4.5074 3.2173
Cd 11.5335 6.7862 4.8325
Ge 3.8452 2.2615 1.6129
Br 5.9218 7.5477 3.2311
Br 5.5641 3.7910 0.0001
Br 7.6977 2.4884 6.0899
Br 6.0273 1.0053 2.8619
Br 9.4650 3.5230 0.3661
Br 11.5787 4.2698 3.5789
```

- calculated total energy (eV per atom) = -2.88
- E_form (uncorrected) (eV/atom) = -1.13
- space group = P1